1.
A plane-wave DFT calculation with GGA-PBEsol was carried out for a relaxed structure of BeNiSb2.

Results
**SG**: I-42d, No. 122
**DOS(E_F)**: 2.5 states/eV/f.u.
**Formation energy (no corrections)**: 308 meV per atom

a = 5.7904 Å, b = 6.6206 Å, c = 5.7904 Å
α = 115.93°, β = 90.00°, γ = 115.93°
Sites, in units of the cell vectors:
Sb 0.8720 0.2500 0.8750
Sb 0.6250 0.7500 0.1280
Sb 0.1250 0.7500 0.6220
Be 0.7500 0.5000 0.2500
Be 0.5000 0.0000 0.5000
Ni 0.0000 0.0000 0.0000
Sb 0.3780 0.2500 0.3750
Ni 0.2500 0.5000 0.7500

2.
A plane-wave DFT calculation with GGA-PBEsol was carried out for a relaxed structure of BeNiSb2.

Results
**SG**: R-3m, No. 166
**DOS(E_F)**: 1.9 states/eV/f.u.
**Formation energy (no corrections)**: 149 meV per atom

a = 3.6979 Å, b = 3.6979 Å, c = 6.2929 Å
α = 72.91°, β = 72.91°, γ = 60.00°
Sites, in units of the cell vectors:
Sb 0.7474 0.7474 0.7578
Be 0.5000 0.5000 0.5000
Ni 0.0000 0.0000 0.0000
Sb 0.2526 0.2526 0.2422

3.
A plane-wave DFT calculation with GGA-PBEsol was carried out for a relaxed structure of BeNiSb2.

Results
**SG**: Cmm2, No. 35
**DOS(E_F)**: 0.8 states/eV/f.u.
**Formation energy (no corrections)**: -4 meV per atom

a = 3.0796 Å, b = 3.0796 Å, c = 7.5744 Å
α = 90.00°, β = 90.00°, γ = 91.01°
Sites, in units of the cell vectors:
Be 0.0000 0.0000 0.4319
Sb 0.0000 0.0000 0.0942
Ni 0.5000 0.5000 0.3147
Sb 0.5000 0.5000 0.6592

4.
A plane-wave DFT calculation with GGA-PBEsol was carried out for a relaxed structure of BeNiSb2Te.

Results
**SG**: P4/mmm, No. 123
**DOS(E_F)**: 3.4 states/eV/f.u.
**Formation energy (no corrections)**: 812 meV per atom

a = 4.7174 Å, b = 4.7174 Å, c = 4.8653 Å
α = 90.00°, β = 90.00°, γ = 90.00°
Sites, in units of the cell vectors:
Sb 0.5000 0.0000 0.0000
Te 0.0000 0.0000 0.5000
Be 0.0000 0.0000 0.0000
Ni 0.5000 0.5000 0.5000
Sb 0.0000 0.5000 0.0000

5.
A plane-wave DFT calculation with GGA-PBEsol was carried out for a relaxed structure of ScBe3Ni.

Results
**SG**: Pm-3m, No. 221
**DOS(E_F)**: 3.4 states/eV/f.u.
**Energy**: -4.98 eV/atom

a = 3.9512 Å, b = 3.9512 Å, c = 3.9512 Å
α = 90.00°, β = 90.00°, γ = 90.00°
Sites, in units of the cell vectors:
Ni 0.0000 0.0000 0.0000
Be 0.0000 0.5000 0.0000
Sc 0.5000 0.5000 0.5000
Be 0.5000 0.0000 0.0000
Be 0.0000 0.0000 0.5000

6.
A plane-wave DFT calculation with GGA-PBEsol was carried out for a relaxed structure of ScBe4Ni.

Results
**SG**: F-43m, No. 216
**DOS(E_F)**: 4.5 states/eV/f.u.
**Energy**: -5.00 eV/atom

a = 4.4289 Å, b = 4.4289 Å, c = 4.4289 Å
α = 60.00°, β = 60.00°, γ = 60.00°
Sites, in units of the cell vectors:
Be 0.3765 0.8705 0.3765
Be 0.8705 0.3765 0.3765
Sc 0.0000 0.0000 0.0000
Be 0.3765 0.3765 0.3765
Ni 0.7500 0.7500 0.7500
Be 0.3765 0.3765 0.8705

7.
A plane-wave DFT calculation with GGA-PBEsol was carried out for a relaxed structure of ScBeNi2.

Results
**SG**: I-4m2, No. 119
**DOS(E_F)**: 1.7 states/eV/f.u.
**Energy**: -6.03 eV/atom

a = 3.5078 Å, b = 3.5078 Å, c = 4.6153 Å
α = 112.33°, β = 112.33°, γ = 90.00°
Sites, in units of the cell vectors:
Ni 0.0000 0.0000 0.0000
Ni 0.7500 0.2500 0.5000
Sc 0.5000 0.5000 0.0000
Be 0.2500 0.7500 0.5000

8.
A plane-wave DFT calculation with GGA-PBEsol was carried out for a relaxed structure of Be2NiSe.

Results
**SG**: I-4m2, No. 119
**DOS(E_F)**: 1.0 states/eV/f.u.
**Formation energy (no corrections)**: 140 meV per atom

a = 3.3588 Å, b = 3.3588 Å, c = 4.6310 Å
α = 111.26°, β = 111.26°, γ = 90.00°
Sites, in units of the cell vectors:
Ni 0.5000 0.5000 0.0000
Be 0.7500 0.2500 0.5000
Se 0.2500 0.7500 0.5000
Be 0.0000 0.0000 0.0000

9.
A plane-wave DFT calculation with GGA-PBEsol was carried out for a relaxed structure of BeNiSnSe2.

Results
**SG**: P4/mmm, No. 123
**DOS(E_F)**: 5.4 states/eV/f.u.
**Formation energy (no corrections)**: 1183 meV per atom

a = 4.6179 Å, b = 5.2438 Å, c = 5.2438 Å
α = 90.00°, β = 90.00°, γ = 90.00°
Sites, in units of the cell vectors:
Be 0.5000 0.5000 0.5000
Se 0.0000 0.0000 0.5000
Sn 0.0000 0.0000 0.0000
Ni 0.5000 0.0000 0.0000
Se 0.0000 0.5000 0.0000

10.
A plane-wave DFT calculation with GGA-PBEsol was carried out for a relaxed structure of BeSiNi.

Results
**SG**: P3m1, No. 156
**DOS(E_F)**: 0.9 states/eV/f.u.
**Formation energy (no corrections)**: -154 meV per atom

a = 2.5228 Å, b = 3.7813 Å, c = 3.7813 Å
α = 120.00°, β = 90.00°, γ = 90.00°
Sites, in units of the cell vectors:
Si 0.3668 0.6667 0.3333
Be 0.0108 0.0000 0.0000
Ni 0.6224 0.3333 0.6667

11.
A plane-wave DFT calculation with GGA-PBEsol was carried out for a relaxed structure of BeSiNi2.

Results
**SG**: Fm-3m, No. 225
**DOS(E_F)**: 1.8 states/eV/f.u.
**Formation energy (no corrections)**: -596 meV per atom

a = 3.8064 Å, b = 3.8064 Å, c = 3.8064 Å
α = 60.00°, β = 60.00°, γ = 60.00°
Sites, in units of the cell vectors:
Be 0.0000 0.0000 0.0000
Si 0.5000 0.5000 0.5000
Ni 0.7500 0.7500 0.7500
Ni 0.2500 0.2500 0.2500

12.
A plane-wave DFT calculation with GGA-PBEsol was carried out for a relaxed structure of BeSiNi2.

Results
**SG**: Cm, No. 8
**DOS(E_F)**: 1.5 states/eV/f.u.
**Formation energy (no corrections)**: -528 meV per atom

a = 2.6900 Å, b = 3.8113 Å, c = 4.2658 Å
α = 106.48°, β = 108.38°, γ = 90.00°
Sites, in units of the cell vectors:
Ni 0.7567 0.3053 0.5135
Be 0.2543 0.8055 0.5087
Ni 0.9900 0.9386 0.9800
Si 0.4989 0.4507 0.9979